First-principles (GGA-PBE) data for an optimized crystal structure of TaV2, as listed in Alexandria via LeMat-Bulk.

Computed properties:
- total moment (μB/f.u.) = 0.00
- ΔH_f (0 K) (meV per atom) = 19

Structure (POSCAR):
```
TaV2
1.0
-2.594 -0.250 1.673
0.741 -2.901 0.790
3.217 3.189 2.577
V Ta
2 1
direct
0.178 0.178 0.355 V
0.822 0.822 0.645 V
0.500 0.500 0.000 Ta
```

---

First-principles (GGA-PBE) data for an optimized crystal structure of Y8RuRh2, as listed in Alexandria via LeMat-Bulk.

Computed properties:
- total moment (μB/f.u.) = 0.00
- ΔH_f (0 K) (meV per atom) = -346

Structure (POSCAR):
```
Y8RuRh2
1.0
-0.828 -3.765 -4.581
5.962 3.939 -2.503
1.667 -4.893 5.532
Y Ru Rh
8 1 2
direct
0.579 0.340 0.084 Y
0.579 0.084 0.340 Y
0.170 0.359 0.359 Y
0.989 0.210 0.788 Y
0.989 0.788 0.210 Y
0.811 0.645 0.645 Y
0.385 0.924 0.669 Y
0.385 0.669 0.924 Y
0.130 0.999 0.999 Ru
0.490 0.697 0.317 Rh
0.490 0.317 0.697 Rh
```

---

First-principles (GGA-PBE) data for an optimized crystal structure of Sr2Cd3CuAg12, as listed in Alexandria via LeMat-Bulk.

Computed properties:
- total moment (μB/f.u.) = 0.00
- ΔH_f (0 K) (meV per atom) = 175

Structure (POSCAR):
```
Sr2Cd3CuAg12
1.0
8.767 -0.162 -0.115
4.189 7.703 -0.115
4.189 2.438 7.308
Sr Cd Cu Ag
2 3 1 12
direct
0.612 0.612 0.612 Sr
0.388 0.388 0.388 Sr
0.500 0.000 0.000 Cd
0.000 0.500 0.000 Cd
0.000 0.000 0.500 Cd
0.000 0.000 0.000 Cu
0.359 0.359 0.016 Ag
0.875 0.875 0.343 Ag
0.343 0.875 0.875 Ag
0.016 0.359 0.359 Ag
0.875 0.343 0.875 Ag
0.359 0.016 0.359 Ag
0.641 0.641 0.984 Ag
0.125 0.125 0.657 Ag
0.657 0.125 0.125 Ag
0.984 0.641 0.641 Ag
0.125 0.657 0.125 Ag
0.641 0.984 0.641 Ag
```

---

First-principles (GGA-PBE) data for an optimized crystal structure of BaAlIr2, as listed in Alexandria via LeMat-Bulk.

Computed properties:
- energy above the most stable polymorph in this dataset (eV per atom) = 0.8424
- total moment (μB/f.u.) = 0.00
- ΔH_f (0 K) (meV per atom) = 459

Structure (POSCAR):
```
BaAlIr2
1.0
5.034 -0.002 0.000
-0.946 4.944 0.000
0.000 0.000 3.202
Ir Ba Al
2 1 1
direct
0.000 0.000 0.000 Ir
0.500 0.500 0.000 Ir
0.000 0.500 0.500 Ba
0.500 0.000 0.500 Al
```